# PrNd3Hg | Alexandria via LeMat-Bulk | PBE-GGA | optimized geometry
data_PrNd3Hg
_chemical_formula_sum 'Pr2 Nd6 Hg2'
_space_group_name_H-M_alt 'P 1'
_space_group_IT_number 1
_space_group_name_Hall 'P 1'
_cell_length_a 3.7572
_cell_length_b 5.7530
_cell_length_c 15.3088
_cell_angle_alpha 89.82
_cell_angle_beta 97.05
_cell_angle_gamma 90.00
loop_
_atom_site_label
_atom_site_fract_x
_atom_site_fract_y
_atom_site_fract_z
Nd1 0.8729 0.2470 0.7457
Nd2 0.9523 0.7378 0.9046
Nd3 0.0477 0.2622 0.0954
Nd4 0.6582 0.2505 0.3164
Nd5 0.1271 0.7530 0.2543
Nd6 0.3418 0.7495 0.6836
Pr1 0.2668 0.2490 0.5335
Pr2 0.7332 0.7510 0.4665
Hg1 0.4594 0.2305 0.9187
Hg2 0.5406 0.7695 0.0813
# - Formation energy: -0.17 eV/atom
# - Total DFT energy (no corrections): -40.5 eV per cell
# - V: 32.84 Å³ per atom
# - ΔE to the lowest computed polymorph: 0 meV/atom